# 1
Ag3Se: optimized geometry, PBE.

Output
Total energy = -34.3 eV/cell

abc: 3.0895 3.0895 27.5122
angles: 90.00 90.00 120.00
Atoms (fractional coordinates):
1 Ag 0.0000 0.0000 0.0000
2 Ag 0.0000 0.0000 0.2500
3 Ag 0.0000 0.0000 0.7500
4 Ag 0.3333 0.6667 0.4167
5 Ag 0.3333 0.6667 0.6667
6 Ag 0.3333 0.6667 0.9167
7 Ag 0.6667 0.3333 0.0833
8 Ag 0.6667 0.3333 0.3333
9 Ag 0.6667 0.3333 0.5833
10 Se 0.0000 0.0000 0.5000
11 Se 0.3333 0.6667 0.1667
12 Se 0.6667 0.3333 0.8333

# 2
AgSe2: optimized geometry, PBE.

Output
Total energy = -38.1 eV/cell

abc: 17.3863 2.8686 5.9510
angles: 90.00 106.14 90.00
Atoms (fractional coordinates):
1 Ag 0.0000 0.0000 0.0000
2 Ag 0.1479 0.5000 0.6550
3 Ag 0.5000 0.5000 0.0000
4 Ag 0.6479 0.0000 0.6550
5 Se 0.1413 0.5000 0.1333
6 Se 0.2869 0.0000 0.6582
7 Se 0.3657 0.0000 0.0503
8 Se 0.4918 0.0000 0.5469
9 Se 0.6413 0.0000 0.1333
10 Se 0.7869 0.5000 0.6582
11 Se 0.8657 0.5000 0.0503
12 Se 0.9918 0.5000 0.5469

# 3
AgSe2: optimized geometry, PBE.

Output
Total energy = -36.0 eV/cell

abc: 6.5122 6.5122 6.5122
angles: 90.00 90.00 90.00
Atoms (fractional coordinates):
1 Ag 0.0000 0.0000 0.0000
2 Ag 0.0000 0.5000 0.5000
3 Ag 0.5000 0.0000 0.5000
4 Ag 0.5000 0.5000 0.0000
5 Se 0.2500 0.2500 0.2500
6 Se 0.2500 0.2500 0.7500
7 Se 0.2500 0.7500 0.2500
8 Se 0.2500 0.7500 0.7500
9 Se 0.7500 0.2500 0.2500
10 Se 0.7500 0.2500 0.7500
11 Se 0.7500 0.7500 0.2500
12 Se 0.7500 0.7500 0.7500

# 4
Ag2Se3: optimized geometry, PBE.

Output
Total energy = -31.4 eV/cell

abc: 8.0371 8.0371 8.0371
angles: 140.57 140.57 56.99
Atoms (fractional coordinates):
1 Ag 0.0723 0.3223 0.7500
2 Ag 0.3223 0.0723 0.2500
3 Ag 0.6777 0.9277 0.7500
4 Ag 0.9277 0.6777 0.2500
5 Se 0.1250 0.8750 0.2500
6 Se 0.2634 0.5134 0.7500
7 Se 0.4866 0.7366 0.7500
8 Se 0.5134 0.2634 0.2500
9 Se 0.7366 0.4866 0.2500
10 Se 0.8750 0.1250 0.7500

# 5
Ag3Se: optimized geometry, PBE.

Output
Total energy = -47.8 eV/cell

abc: 4.2246 4.2246 17.0799
angles: 90.00 90.00 90.00
Atoms (fractional coordinates):
1 Ag 0.0000 0.0000 0.1174
2 Ag 0.0000 0.0000 0.8826
3 Ag 0.0000 0.5000 0.0000
4 Ag 0.0000 0.5000 0.2500
5 Ag 0.0000 0.5000 0.5000
6 Ag 0.0000 0.5000 0.7500
7 Ag 0.5000 0.0000 0.0000
8 Ag 0.5000 0.0000 0.2500
9 Ag 0.5000 0.0000 0.5000
10 Ag 0.5000 0.0000 0.7500
11 Ag 0.5000 0.5000 0.3826
12 Ag 0.5000 0.5000 0.6174
13 Se 0.0000 0.0000 0.3644
14 Se 0.0000 0.0000 0.6356
15 Se 0.5000 0.5000 0.1356
16 Se 0.5000 0.5000 0.8644

# 6
Ag3Se: optimized geometry, PBE.

Output
Total energy = -11.6 eV/cell

abc: 2.8991 4.7908 5.5371
angles: 90.00 90.00 90.00
Atoms (fractional coordinates):
1 Ag 0.0000 0.0000 0.0000
2 Ag 0.0000 0.5000 0.2922
3 Ag 0.5000 0.0000 0.4687
4 Se 0.5000 0.5000 0.7753

# 7
Ag3Se: optimized geometry, PBE.

Output
Total energy = -11.5 eV/cell

abc: 3.0621 3.0621 9.3304
angles: 90.00 90.00 120.00
Atoms (fractional coordinates):
1 Ag 0.0000 0.0000 0.0000
2 Ag 0.3333 0.6667 0.2471
3 Ag 0.3333 0.6667 0.7529
4 Se 0.0000 0.0000 0.5000

# 8
Ag3Se: optimized geometry, PBE.

Output
Total energy = -23.1 eV/cell

abc: 5.8125 9.0946 2.8666
angles: 90.00 90.00 90.00
Atoms (fractional coordinates):
1 Ag 0.0000 0.0000 0.0000
2 Ag 0.2500 0.2500 0.5000
3 Ag 0.2500 0.7500 0.5000
4 Ag 0.5000 0.5000 0.0000
5 Ag 0.7500 0.2500 0.5000
6 Ag 0.7500 0.7500 0.5000
7 Se 0.0000 0.5000 0.0000
8 Se 0.5000 0.0000 0.0000

# 9
AgSe2: optimized geometry, PBE.

Output
Total energy = -34.8 eV/cell

abc: 5.1660 5.1660 13.2626
angles: 90.00 90.00 120.00
Atoms (fractional coordinates):
1 Ag 0.3333 0.6667 0.0390
2 Ag 0.3333 0.6667 0.4610
3 Ag 0.6667 0.3333 0.5390
4 Ag 0.6667 0.3333 0.9610
5 Se 0.0000 0.0000 0.0000
6 Se 0.0000 0.0000 0.5000
7 Se 0.1662 0.3324 0.2500
8 Se 0.1662 0.8338 0.2500
9 Se 0.3324 0.1662 0.7500
10 Se 0.6676 0.8338 0.2500
11 Se 0.8338 0.1662 0.7500
12 Se 0.8338 0.6676 0.7500

# 10
AgSe2: optimized geometry, PBE.

Output
Total energy = -36.5 eV/cell

abc: 3.7982 3.7982 19.3724
angles: 90.00 90.00 90.00
Atoms (fractional coordinates):
1 Ag 0.0000 0.2500 0.3750
2 Ag 0.0000 0.7500 0.6250
3 Ag 0.5000 0.2500 0.1250
4 Ag 0.5000 0.7500 0.8750
5 Se 0.0000 0.2500 0.8109
6 Se 0.0000 0.2500 0.9391
7 Se 0.0000 0.7500 0.0609
8 Se 0.0000 0.7500 0.1891
9 Se 0.5000 0.2500 0.5609
10 Se 0.5000 0.2500 0.6891
11 Se 0.5000 0.7500 0.3109
12 Se 0.5000 0.7500 0.4391

# 11
AgSe2: optimized geometry, PBE.

Output
Total energy = -38.0 eV/cell

abc: 3.7829 3.8686 20.5181
angles: 90.00 90.00 90.00
Atoms (fractional coordinates):
1 Ag 0.0000 0.2500 0.1915
2 Ag 0.0000 0.7500 0.8085
3 Ag 0.5000 0.2500 0.3085
4 Ag 0.5000 0.7500 0.6915
5 Se 0.0000 0.2500 0.5479
6 Se 0.0000 0.2500 0.6672
7 Se 0.0000 0.7500 0.3328
8 Se 0.0000 0.7500 0.4521
9 Se 0.5000 0.2500 0.8328
10 Se 0.5000 0.2500 0.9521
11 Se 0.5000 0.7500 0.0479
12 Se 0.5000 0.7500 0.1672

# 12
Ag2Se3: optimized geometry, PBE.

Output
Total energy = -15.5 eV/cell

abc: 3.8292 3.8292 8.5087
angles: 90.00 90.00 120.00
Atoms (fractional coordinates):
1 Ag 0.3333 0.6667 0.3062
2 Ag 0.6667 0.3333 0.6938
3 Se 0.0000 0.0000 0.5000
4 Se 0.3333 0.6667 0.8775
5 Se 0.6667 0.3333 0.1225

# 13
AgSe2: optimized geometry, PBE.

Output
Total energy = -38.0 eV/cell

abc: 2.7154 17.1679 5.6763
angles: 90.00 90.00 90.00
Atoms (fractional coordinates):
1 Ag 0.0000 0.1646 0.2500
2 Ag 0.0000 0.8354 0.7500
3 Ag 0.5000 0.3354 0.7500
4 Ag 0.5000 0.6646 0.2500
5 Se 0.0000 0.1896 0.7500
6 Se 0.0000 0.4819 0.7500
7 Se 0.0000 0.5181 0.2500
8 Se 0.0000 0.8104 0.2500
9 Se 0.5000 0.0181 0.2500
10 Se 0.5000 0.3104 0.2500
11 Se 0.5000 0.6896 0.7500
12 Se 0.5000 0.9819 0.7500

# 14
AgSe2: optimized geometry, PBE.

Output
Total energy = -18.1 eV/cell

abc: 3.7917 3.7917 9.6301
angles: 90.00 90.00 90.00
Atoms (fractional coordinates):
1 Ag 0.0000 0.0000 0.0000
2 Ag 0.5000 0.5000 0.5000
3 Se 0.0000 0.0000 0.3740
4 Se 0.0000 0.0000 0.6260
5 Se 0.5000 0.5000 0.1260
6 Se 0.5000 0.5000 0.8740

# 15
Ag3Se5: optimized geometry, PBE.

Output
Energy above the most stable polymorph in this dataset = 180 meV per atom
Total energy = -48.5 eV/cell

abc: 7.3202 15.7863 3.7695
angles: 90.00 90.00 90.00
Atoms (fractional coordinates):
1 Ag 0.0000 0.0000 0.0000
2 Ag 0.0000 0.2517 0.5000
3 Ag 0.0000 0.7483 0.5000
4 Ag 0.5000 0.2483 0.5000
5 Ag 0.5000 0.5000 0.0000
6 Ag 0.5000 0.7517 0.5000
7 Se 0.0000 0.5000 0.0000
8 Se 0.2430 0.5000 0.5000
9 Se 0.2500 0.2500 0.0000
10 Se 0.2500 0.7500 0.0000
11 Se 0.2570 0.0000 0.5000
12 Se 0.5000 0.0000 0.0000
13 Se 0.7430 0.0000 0.5000
14 Se 0.7500 0.2500 0.0000
15 Se 0.7500 0.7500 0.0000
16 Se 0.7570 0.5000 0.5000

# 16
AgSe2: optimized geometry, PBE.

Output
Total energy = -19.9 eV/cell

abc: 5.2775 6.6474 4.1392
angles: 90.00 90.00 90.00
Atoms (fractional coordinates):
1 Ag 0.0000 0.0000 0.0000
2 Ag 0.5000 0.5000 0.5000
3 Se 0.1773 0.3948 0.0000
4 Se 0.3227 0.8948 0.5000
5 Se 0.6773 0.1052 0.5000
6 Se 0.8227 0.6052 0.0000

# 17
Ag5Se3: optimized geometry, PBE.

Output
Energy above the most stable polymorph in this dataset = 0 meV per atom
Total energy = -49.8 eV/cell

abc: 6.9906 7.0366 8.7058
angles: 105.07 90.67 119.31
Atoms (fractional coordinates):
1 Ag 0.0493 0.1638 0.2999
2 Ag 0.2153 0.3201 0.6414
3 Ag 0.2232 0.6677 0.4804
4 Ag 0.2868 0.5552 0.1338
5 Ag 0.3342 0.9859 0.1042
6 Ag 0.6658 0.0141 0.8958
7 Ag 0.7132 0.4448 0.8662
8 Ag 0.7768 0.3323 0.5196
9 Ag 0.7847 0.6799 0.3586
10 Ag 0.9507 0.8362 0.7001
11 Se 0.1173 0.6262 0.8035
12 Se 0.3102 0.2186 0.9108
13 Se 0.3294 0.0764 0.4165
14 Se 0.6706 0.9236 0.5835
15 Se 0.6898 0.7814 0.0892
16 Se 0.8827 0.3738 0.1965

# 18
AgSe2: optimized geometry, PBE.

Output
Total energy = -39.7 eV/cell

abc: 6.5720 6.5720 6.5720
angles: 90.00 90.00 90.00
Atoms (fractional coordinates):
1 Ag 0.0000 0.0000 0.0000
2 Ag 0.0000 0.5000 0.5000
3 Ag 0.5000 0.0000 0.5000
4 Ag 0.5000 0.5000 0.0000
5 Se 0.1029 0.6029 0.8971
6 Se 0.1029 0.8971 0.3971
7 Se 0.3971 0.1029 0.8971
8 Se 0.3971 0.3971 0.3971
9 Se 0.6029 0.6029 0.6029
10 Se 0.6029 0.8971 0.1029
11 Se 0.8971 0.1029 0.6029
12 Se 0.8971 0.3971 0.1029

# 19
Ag3Se: optimized geometry, PBE.

Output
Total energy = -23.1 eV/cell

abc: 5.3898 5.3898 5.3898
angles: 90.00 90.00 90.00
Atoms (fractional coordinates):
1 Ag 0.0000 0.2500 0.5000
2 Ag 0.0000 0.7500 0.5000
3 Ag 0.2500 0.5000 0.0000
4 Ag 0.5000 0.0000 0.2500
5 Ag 0.5000 0.0000 0.7500
6 Ag 0.7500 0.5000 0.0000
7 Se 0.0000 0.0000 0.0000
8 Se 0.5000 0.5000 0.5000

# 20
AgSe2: optimized geometry, PBE.

Output
Total energy = -9.5 eV/cell

abc: 3.9492 3.9492 4.7656
angles: 90.00 90.00 120.00
Atoms (fractional coordinates):
1 Ag 0.0000 0.0000 0.0000
2 Se 0.3333 0.6667 0.3005
3 Se 0.6667 0.3333 0.6995